# 1
## PaSi2Tc2Os (PBE)

Data for crystalline PaSi2Tc2Os at its relaxed geometry.

## Properties
formation energy (no corrections): -123 meV/atom

Lattice parameters (Å, degrees): 3.817 3.817 15.923 90.00 90.00 90.00
Space group I4/mmm (No. 139)
Unique sites:
1 Pa 0.000 0.000 0.000
2 Si 0.000 0.000 0.349
3 Tc 0.000 0.500 0.250
4 Os 0.000 0.000 0.500

***

# 2
## Pa2Si4TcOs3 (PBE)

Data for crystalline Pa2Si4TcOs3 at its relaxed geometry.

## Properties
formation energy (no corrections): -592 meV/atom

Lattice parameters (Å, degrees): 4.191 4.191 9.663 90.00 90.00 90.00
Space group P-4m2 (No. 115)
Unique sites:
1 Pa 0.000 0.500 0.246
2 Si 0.000 0.000 0.500
3 Si 0.000 0.500 0.874
4 Si 0.500 0.500 0.500
5 Tc 0.500 0.500 0.000
6 Os 0.000 0.000 0.000
7 Os 0.000 0.500 0.629